Ac2PuSb3Rh4: relaxed, PBE.

Cell: 4.624 4.624 10.938 Å, 90.00 90.00 90.00°
Atoms (fractional coordinates):
Ac 0.000 0.500 0.235
Ac 0.500 0.000 0.765
Pu 0.000 0.000 0.500
Sb 0.000 0.500 0.877
Sb 0.500 0.000 0.123
Sb 0.500 0.500 0.500
Rh 0.000 0.000 0.000
Rh 0.000 0.500 0.637
Rh 0.500 0.000 0.363
Rh 0.500 0.500 0.000

Computed properties:
DFT total energy, eV/atom: -7.24
ΔE_f (raw), eV/atom: -0.81
D(E_F), states/eV/atom: 1.310
Crystal system: tetragonal

=====

La2HgRu: relaxed, PBE.

Cell: 3.595 3.662 7.961 Å, 90.00 90.00 90.00°
Atoms (fractional coordinates):
La 0.000 0.000 0.217
La 0.000 0.000 0.783
Hg 0.500 0.500 0.500
Ru 0.500 0.500 0.000

Computed properties:
Formation energy from the elements, eV per atom: -0.337
DFT total energy, eV/atom: -5.19
D(E_F), states/eV/atom: 1.300
Crystal system: orthorhombic

=====

SmY8Th2: relaxed, PBE.

Cell: 10.172 10.172 5.620 Å, 92.16 92.16 40.68°
Atoms (fractional coordinates):
Sm 0.000 0.000 0.000
Y 0.137 0.599 0.264
Y 0.184 0.184 0.232
Y 0.401 0.863 0.736
Y 0.453 0.453 0.763
Y 0.547 0.547 0.237
Y 0.599 0.137 0.264
Y 0.816 0.816 0.768
Y 0.863 0.401 0.736
Th 0.282 0.282 0.739
Th 0.718 0.718 0.261

Computed properties:
Formation energy from the elements, eV per atom: 0.187
DFT total energy, eV/atom: -6.29
D(E_F), states/eV/atom: 1.566
Crystal system: monoclinic
Polymorph energy (0 for the lowest one), eV per atom: 0.005

=====

BaCaAc2: relaxed, PBE.

Cell: 13.576 13.576 13.576 Å, 17.05 17.05 17.05°
Atoms (fractional coordinates):
Ba 0.000 0.000 0.000
Ca 0.834 0.834 0.834
Ac 0.421 0.421 0.421
Ac 0.580 0.580 0.580

Computed properties:
Formation energy from the elements, eV per atom: 0.076
DFT total energy, eV/atom: -2.96
D(E_F), states/eV/atom: 1.529
Crystal system: trigonal
Polymorph energy (0 for the lowest one), eV per atom: 0.037

=====

CsMnFe2: relaxed, PBE.

Cell: 4.620 4.620 4.620 Å, 60.00 60.00 60.00°
Atoms (fractional coordinates):
Cs 0.000 0.000 0.000
Mn 0.500 0.500 0.500
Fe 0.250 0.250 0.250
Fe 0.750 0.750 0.750

Computed properties:
Formation energy from the elements, eV per atom: 1.642
DFT total energy, eV/atom: -5.09
D(E_F), states/eV/atom: 0.875
Crystal system: cubic

=====

BeNbSeN2: relaxed, PBE.

Cell: 3.924 3.924 5.585 Å, 90.00 90.00 90.00°
Atoms (fractional coordinates):
Be 0.000 0.000 0.000
Nb 0.500 0.500 0.500
Se 0.500 0.500 0.000
N 0.000 0.500 0.500
N 0.500 0.000 0.500

Computed properties:
DFT total energy, eV/atom: -6.24
ΔE_f (raw), eV/atom: 0.54
D(E_F), states/eV/atom: 0.491
Crystal system: tetragonal
Polymorph energy (0 for the lowest one), eV per atom: 0.000